A plane-wave DFT calculation with GGA+U was carried out for a relaxed Li2VInF6 crystal.

The space group is P1 (No. 1) and the conventional cell measures 5.450, 5.810 and 5.902 Å, with angles of 63.08, 63.06 and 84.18 degrees. The asymmetric unit holds Li at (0.000, 0.000, 0.000), Li at (0.244, 0.432, 0.098), V at (0.598, 0.136, 0.594), In at (0.297, 0.760, 0.423), F at (0.305, 0.284, 0.843), F at (0.313, 0.814, 0.863), F at (0.404, 0.243, 0.352), F at (0.753, 0.010, 0.863), F at (0.840, 0.951, 0.378) and F at (0.865, 0.445, 0.333).

As for the crystal system: triclinic. Its final energy is -5.181 eV/atom.